(1)
Pa6Se12I, relaxed, DFT PBE; space group = R-3m, No. 166; V = 28.3 A^3/atom; formation energy from raw total energies = -1.2406 eV per atom; energy = -6.52 eV/atom
1.0
-0.263 7.125 -4.521
-4.430 1.827 6.951
7.984 -0.405 2.713
Pa Se I
6 12 1
direct
0.668 0.254 0.254 Pa
0.254 0.254 0.668 Pa
0.254 0.668 0.254 Pa
0.746 0.746 0.332 Pa
0.332 0.746 0.746 Pa
0.746 0.332 0.746 Pa
0.873 0.127 0.500 Se
0.817 0.553 0.553 Se
0.553 0.553 0.817 Se
0.447 0.183 0.447 Se
0.447 0.447 0.183 Se
0.183 0.447 0.447 Se
0.127 0.500 0.873 Se
0.500 0.873 0.127 Se
0.127 0.873 0.500 Se
0.873 0.500 0.127 Se
0.500 0.127 0.873 Se
0.553 0.817 0.553 Se
0.000 0.000 0.000 I

(2)
Rb4Zn2Au5, relaxed, DFT PBE; space group = Ibam, No. 72; V = 30.0 A^3/atom; energy of formation = -3.48 kcal/mol of atoms; energy = -2.22 eV/atom
1.0
5.423 0.000 -1.485
-1.171 9.155 -4.277
0.617 0.453 12.897
Rb Zn Au
8 4 10
direct
0.945 0.236 0.891 Rb
0.055 0.764 0.109 Rb
0.555 0.345 0.109 Rb
0.445 0.655 0.891 Rb
0.645 0.028 0.289 Rb
0.355 0.972 0.711 Rb
0.855 0.739 0.711 Rb
0.145 0.261 0.289 Rb
0.969 0.719 0.437 Zn
0.531 0.281 0.563 Zn
0.031 0.281 0.563 Zn
0.469 0.719 0.437 Zn
0.250 0.000 0.000 Au
0.750 0.000 0.000 Au
0.623 0.682 0.246 Au
0.377 0.318 0.754 Au
0.877 0.437 0.754 Au
0.123 0.563 0.246 Au
0.761 0.960 0.522 Au
0.239 0.040 0.478 Au
0.261 0.562 0.522 Au
0.739 0.438 0.478 Au

(3)
K6BrO2, relaxed, DFT PBE; ΔE to the lowest computed polymorph = 0 meV/atom; space group = C2/m, No. 12; V = 36.2 A^3/atom; formation energy from raw total energies = -1.0508 eV per atom; energy = -3.07 eV/atom
1.0
-4.369 -2.258 -1.995
-0.591 -7.159 2.336
-6.293 -0.045 6.775
K Br O
6 1 2
direct
0.290 0.857 0.562 K
0.710 0.143 0.438 K
0.675 0.787 0.863 K
0.975 0.375 0.674 K
0.325 0.213 0.137 K
0.025 0.625 0.326 K
0.000 0.000 0.000 Br
0.829 0.760 0.582 O
0.171 0.240 0.418 O

(4)
Ba2CaRu, relaxed, DFT PBE; ΔE to the lowest computed polymorph = 304 meV/atom; space group = P4/mmm, No. 123; V = 33.4 A^3/atom; energy of formation = 13.19 kcal/mol of atoms; energy = -3.21 eV/atom
1.0
8.852 -0.010 -0.017
-3.007 4.199 0.000
2.838 2.031 3.585
Ru Ca Ba
1 1 2
direct
0.500 0.500 0.000 Ru
0.000 0.500 0.500 Ca
0.000 0.000 0.000 Ba
0.500 0.000 0.500 Ba

(5)
CsPbI4, relaxed, DFT PBE; space group = C2/m, No. 12; V = 50.2 A^3/atom; formation energy from raw total energies = -0.7093 eV per atom; energy = -2.50 eV/atom
1.0
0.160 -5.154 -2.514
4.726 -0.996 -3.095
5.388 -4.920 7.142
Cs Pb I
1 1 4
direct
0.500 0.500 0.500 Cs
0.000 0.000 0.000 Pb
0.635 0.635 0.085 I
0.365 0.365 0.915 I
0.110 0.110 0.682 I
0.890 0.890 0.318 I

(6)
Ba2YUS6, relaxed, DFT PBE; space group = P2_1/c, No. 14; V = 27.9 A^3/atom; formation energy from raw total energies = -1.8845 eV per atom; energy = -6.52 eV/atom
1.0
7.223 0.000 -0.025
0.000 7.468 0.000
0.029 0.000 10.354
Ba Y U S
4 2 2 12
direct
0.016 0.941 0.250 Ba
0.516 0.559 0.750 Ba
0.984 0.059 0.750 Ba
0.484 0.441 0.250 Ba
0.500 0.000 0.000 Y
0.000 0.500 0.500 Y
0.500 0.000 0.500 U
0.000 0.500 0.000 U
0.290 0.701 0.042 S
0.790 0.799 0.543 S
0.710 0.299 0.958 S
0.210 0.201 0.457 S
0.301 0.711 0.456 S
0.801 0.789 0.956 S
0.699 0.289 0.544 S
0.199 0.211 0.044 S
0.918 0.518 0.245 S
0.418 0.981 0.745 S
0.082 0.482 0.755 S
0.582 0.019 0.255 S

(7)
ReTcOs4, relaxed, DFT PBE; space group = F-43m, No. 216; V = 15.4 A^3/atom; energy of formation = 15.04 kcal/mol of atoms; energy = -10.64 eV/atom
1.0
3.196 0.689 3.878
-1.658 -0.482 4.769
1.471 -3.960 2.809
Re Tc Os
1 1 4
direct
0.750 0.750 0.750 Re
0.000 0.000 0.000 Tc
0.875 0.375 0.375 Os
0.375 0.375 0.875 Os
0.375 0.875 0.375 Os
0.375 0.375 0.375 Os

(8)
CuBPd5, relaxed, DFT PBE; space group = Imma, No. 74; V = 16.1 A^3/atom; energy of formation = 2.13 kcal/mol of atoms; energy = -5.16 eV/atom
1.0
6.610 -0.257 0.877
1.853 6.350 0.877
4.030 2.901 6.155
Cu B Pd
2 2 10
direct
0.589 0.411 0.250 Cu
0.411 0.589 0.750 Cu
0.000 0.000 0.000 B
0.000 0.000 0.500 B
0.710 0.710 0.290 Pd
0.239 0.762 0.416 Pd
0.710 0.710 0.790 Pd
0.907 0.093 0.250 Pd
0.238 0.761 0.084 Pd
0.762 0.239 0.916 Pd
0.093 0.907 0.750 Pd
0.290 0.290 0.210 Pd
0.761 0.238 0.584 Pd
0.290 0.290 0.710 Pd

(9)
CuRu2W, relaxed, DFT PBE; ΔE to the lowest computed polymorph = 0 meV/atom; space group = Fm-3m, No. 225; V = 14.1 A^3/atom; energy of formation = 1.70 kcal/mol of atoms; energy = -8.83 eV/atom
1.0
0.000 3.046 3.046
3.046 0.000 3.046
3.046 3.046 0.000
Ru Cu W
2 1 1
direct
0.250 0.250 0.250 Ru
0.750 0.750 0.750 Ru
0.000 0.000 0.000 Cu
0.500 0.500 0.500 W

(10)
CdPtPb, relaxed, DFT PBE; ΔE to the lowest computed polymorph = 126 meV/atom; space group = Imm2, No. 44; V = 22.7 A^3/atom; energy of formation = -2.66 kcal/mol of atoms; energy = -3.67 eV/atom
1.0
6.478 0.013 0.002
4.718 4.439 -0.002
-5.525 -2.410 2.373
Pb Pt Cd
1 1 1
direct
0.310 0.310 0.000 Pb
0.660 0.660 0.000 Pt
0.030 0.030 0.000 Cd

(11)
Ho2Ni12P3Pt, relaxed, DFT PBE; space group = R-3m, No. 166; V = 15.4 A^3/atom; energy of formation = -0.47 kcal/mol of atoms; energy = -5.62 eV/atom
1.0
-1.269 -6.844 1.191
1.788 -2.253 6.449
-5.457 -1.285 4.294
Ho Ni P Pt
2 12 3 1
direct
0.604 0.604 0.604 Ho
0.396 0.396 0.396 Ho
0.344 0.344 0.896 Ni
0.864 0.864 0.389 Ni
0.389 0.864 0.864 Ni
0.896 0.344 0.344 Ni
0.864 0.389 0.864 Ni
0.344 0.896 0.344 Ni
0.656 0.656 0.104 Ni
0.136 0.136 0.611 Ni
0.611 0.136 0.136 Ni
0.104 0.656 0.656 Ni
0.136 0.611 0.136 Ni
0.656 0.104 0.656 Ni
0.500 0.000 0.000 P
0.000 0.500 0.000 P
0.000 0.000 0.500 P
0.000 0.000 0.000 Pt

(12)
Tl2CN2, relaxed, DFT PBE; ΔE to the lowest computed polymorph = 5 meV/atom; space group = P-1, No. 2; V = 23.9 A^3/atom; formation energy from raw total energies = 0.1039 eV per atom; energy = -6.02 eV/atom
1.0
7.290 -0.220 -0.015
2.154 4.922 0.011
2.491 0.392 9.857
C N Tl
3 6 6
direct
0.500 0.000 0.000 C
0.801 0.443 0.654 C
0.199 0.557 0.346 C
0.489 0.793 0.067 N
0.511 0.207 0.933 N
0.819 0.244 0.596 N
0.181 0.756 0.404 N
0.216 0.366 0.283 N
0.784 0.634 0.717 N
0.909 0.203 0.335 Tl
0.091 0.797 0.665 Tl
0.493 0.901 0.315 Tl
0.507 0.099 0.685 Tl
0.792 0.377 0.966 Tl
0.208 0.623 0.034 Tl

(13)
Sr2Sb4Pd3, relaxed, DFT PBE; space group = Fmmm, No. 69; V = 25.6 A^3/atom; formation energy from raw total energies = -0.6580 eV per atom; energy = -4.59 eV/atom
1.0
-4.251 3.381 -3.163
-0.953 -1.909 5.912
5.485 5.083 0.969
Sr Sb Pd
2 4 3
direct
0.638 0.638 0.276 Sr
0.362 0.362 0.724 Sr
0.015 0.692 0.707 Sb
0.692 0.015 0.707 Sb
0.985 0.308 0.293 Sb
0.308 0.985 0.293 Sb
0.500 0.000 0.000 Pd
0.000 0.000 0.000 Pd
0.000 0.500 0.000 Pd

(14)
B2C, relaxed, DFT PBE; ΔE to the lowest computed polymorph = 457 meV/atom; space group = Cm, No. 8; V = 6.7 A^3/atom; energy of formation = 14.81 kcal/mol of atoms; energy = -6.88 eV/atom
1.0
2.722 -0.013 0.005
-1.348 2.736 0.018
-0.013 -1.608 2.702
C B
1 2
direct
0.962 0.035 0.121 C
0.945 0.000 0.604 B
0.604 0.319 0.034 B